Entry 1:
The following is a GGA-PBE calculation of crystalline Ho5Sb4H at its relaxed geometry, from the Alexandria database.

Lattice parameters (Å, degrees): 6.1175 7.4308 7.4308 80.24 65.69 65.69
Atoms (fractional coordinates):
Ho1 0.1063 0.5952 0.2003
Ho2 0.9018 0.4048 0.7997
Ho3 0.4218 0.0000 0.0000
Ho4 0.3066 0.7997 0.5952
Ho5 0.7015 0.2003 0.4048
Sb1 0.4048 0.3961 0.8017
Sb2 0.2064 0.1983 0.3961
Sb3 0.8009 0.8017 0.6039
Sb4 0.6025 0.6039 0.1983
H1 0.0578 0.0000 0.0000

total moment = 0.0 μB per cell
density of states at the Fermi level = 4.40 states/eV/cell
calculated total energy = -5.111 eV per atom

---

Entry 2:
The following is a GGA-PBE calculation of crystalline Ho4Sb5H at its relaxed geometry, from the Alexandria database.

Lattice parameters (Å, degrees): 4.2987 7.8546 8.6975 74.40 104.31 90.00
Atoms (fractional coordinates):
H1 0.5000 0.0000 0.0000
Sb1 0.2113 0.7801 0.4226
Sb2 0.5000 0.5000 0.0000
Sb3 0.7887 0.2199 0.5774
Sb4 0.8576 0.6465 0.7151
Sb5 0.1424 0.3535 0.2849
Ho1 0.6417 0.0566 0.2834
Ho2 0.9589 0.2486 0.9178
Ho3 0.0411 0.7514 0.0822
Ho4 0.3583 0.9434 0.7166

total moment = 0.0 μB per cell
density of states at the Fermi level = 4.83 states/eV/cell
calculated total energy = -4.705 eV per atom

---

Entry 3:
The following is a GGA-PBE calculation of crystalline Ho3SbH3 at its relaxed geometry, from the Alexandria database.

Lattice parameters (Å, degrees): 6.1668 6.1668 6.1668 90.00 90.00 90.00
Atoms (fractional coordinates):
H1 0.7500 0.0000 0.5000
H2 0.0000 0.5000 0.2500
H3 0.5000 0.2500 0.0000
H4 0.5000 0.7500 0.0000
H5 0.0000 0.5000 0.7500
H6 0.2500 0.0000 0.5000
Ho1 0.5000 0.0000 0.2500
Ho2 0.0000 0.2500 0.5000
Ho3 0.7500 0.5000 0.0000
Ho4 0.0000 0.7500 0.5000
Ho5 0.5000 0.0000 0.7500
Ho6 0.2500 0.5000 0.0000
Sb1 0.0000 0.0000 0.0000
Sb2 0.5000 0.5000 0.5000

total moment = 0.0 μB per cell
density of states at the Fermi level = 8.03 states/eV/cell
calculated total energy = -4.612 eV per atom

---

Entry 4:
The following is a GGA-PBE calculation of crystalline Ho2SbH3 at its relaxed geometry, from the Alexandria database.

Lattice parameters (Å, degrees): 3.8707 7.5498 7.0893 113.77 90.00 104.85
Atoms (fractional coordinates):
Ho1 0.4703 0.9406 0.7305
Ho2 0.5297 0.0594 0.2695
Ho3 0.8002 0.6003 0.3197
Ho4 0.1998 0.3997 0.6803
Sb1 0.1329 0.2659 0.0461
Sb2 0.8671 0.7341 0.9539
H1 0.9371 0.8743 0.5892
H2 0.5943 0.1886 0.6231
H3 0.6928 0.3857 0.4742
H4 0.4057 0.8114 0.3769
H5 0.0629 0.1257 0.4108
H6 0.3072 0.6143 0.5258

total moment = 0.0 μB per cell
density of states at the Fermi level = 0.12 states/eV/cell
calculated total energy = -4.666 eV per atom

---

Entry 5:
The following is a GGA-PBE calculation of crystalline Ho3SbH at its relaxed geometry, from the Alexandria database.

Lattice parameters (Å, degrees): 3.9122 6.4531 9.4468 100.62 90.00 90.00
Atoms (fractional coordinates):
Ho1 0.7500 0.0943 0.3760
Ho2 0.2500 0.4084 0.6474
Ho3 0.7500 0.5916 0.3526
Ho4 0.7500 0.2335 0.9118
Ho5 0.2500 0.7665 0.0882
Ho6 0.2500 0.9057 0.6240
H1 0.7500 0.1769 0.6518
H2 0.2500 0.8231 0.3482
Sb1 0.2500 0.2817 0.1632
Sb2 0.7500 0.7183 0.8368

total moment = 0.0 μB per cell
density of states at the Fermi level = 7.54 states/eV/cell
ΔE to the lowest computed polymorph = 0.0 kJ/mol of atoms

---

Entry 6:
The following is a GGA-PBE calculation of crystalline Ho2Sb2H3 at its relaxed geometry, from the Alexandria database.

Lattice parameters (Å, degrees): 3.5443 6.1030 7.0580 121.90 90.00 106.88
Atoms (fractional coordinates):
Ho1 0.1483 0.2965 0.2445
Ho2 0.8517 0.7035 0.7555
H1 0.6706 0.3412 0.4272
H2 0.5000 0.0000 0.0000
H3 0.3294 0.6588 0.5728
Sb1 0.1299 0.2597 0.7607
Sb2 0.8701 0.7403 0.2393

total moment = 0.0 μB per cell
density of states at the Fermi level = 0.49 states/eV/cell
calculated total energy = -4.482 eV per atom

---

Q: density of states at the Fermi level of number 2 (Ho4Sb5H)?
A: 4.83 states/eV/cell